# Nd12Y2Th

Crystalline Nd12Y2Th at its relaxed geometry (GGA-PBE, Alexandria).

Properties
D(E_F) ... 1.4928 states/eV/atom
VASP energy ... -0.1839 Ha/atom
Calculated volume ... 2117.2 Å³/cell
E_form ... 0.17 eV per atom

```
data_Nd12Y2Th
_cell_length_a 7.1973
_cell_length_b 11.7036
_cell_length_c 25.1346
_cell_angle_alpha 90.00
_cell_angle_beta 90.00
_cell_angle_gamma 90.00
_symmetry_space_group_name_H-M 'C m m e'
_symmetry_Int_Tables_number 67
_symmetry_space_group_name_Hall '-C 2a 2'
loop_
_atom_site_label
_atom_site_type_symbol
_atom_site_fract_x
_atom_site_fract_y
_atom_site_fract_z
Nd1 Nd 0.0000 0.0018 0.0739
Nd2 Nd 0.0000 0.0244 0.5600
Nd3 Nd 0.2311 0.2500 0.4143
Nd4 Nd 0.2488 0.2500 0.8736
Nd5 Nd 0.2500 0.0000 0.1997
Nd6 Nd 0.2500 0.0000 0.3250
Y1 Y 0.0000 0.2500 0.2666
Y2 Y 0.0000 0.2500 0.7291
Th1 Th 0.0000 0.2500 0.9991
```